Compound: Pu2Si5Ni3
Source: Alexandria
Functional: GGA-PBE
Structure: optimized geometry

Cell: 5.6383 7.9067 7.9067 Å, 90.45 69.10 69.10°
Each line ends with the local moment (μB).
Fractional positions:
Pu 0.7652 0.6016 0.8682  5.01
Pu 0.2348 0.3984 0.1318  5.01
Si 0.8454 0.2593 0.0505  -0.02
Si 0.1546 0.7407 0.9495  -0.02
Ni 0.6091 0.5260 0.2554  0.07
Si 0.7500 0.2297 0.7703  -0.02
Ni 0.1091 0.2554 0.5260  0.07
Si 0.3454 0.0505 0.2593  -0.02
Si 0.2500 0.7703 0.2297  -0.02
Ni 0.8909 0.7446 0.4740  0.07
Si 0.2500 0.2299 0.7701  -0.02
Ni 0.7500 0.0002 0.9998  0.06
Pu 0.7348 0.1318 0.3984  5.01
Si 0.7500 0.7701 0.2299  -0.02
Si 0.2500 0.4999 0.5001  -0.02
Si 0.6546 0.9495 0.7407  -0.02
Ni 0.2500 0.9998 0.0002  0.06
Ni 0.3909 0.4740 0.7446  0.07
Pu 0.2652 0.8682 0.6016  5.01
Si 0.7500 0.5001 0.4999  -0.02

Computed properties:
- symmetry = Ibam
- ΔE_f (raw) (meV/atom) = -639

---

Compound: SrTcOs2
Source: Alexandria
Functional: GGA-PBE
Structure: optimized geometry

Cell: 3.2070 3.2070 7.5647 Å, 90.00 90.00 90.00°
Fractional positions:
Sr 0.0000 0.0000 0.4942
Os 0.5000 0.5000 0.1831
Os 0.0000 0.0000 0.9909
Tc 0.5000 0.5000 0.8318

Computed properties:
- DFT formation energy (meV/atom) = 765.9
- symmetry = P4mm